Entry from the Alexandria database: a crystal of Cr7Mo relaxed with PBEsol (SCAN).

Values from the calculation:
Total DFT energy (no corrections) in eV per atom: -20.39

extended XYZ file:
```
16
Lattice="-0.0910 -4.7383 3.2005 5.5353 0.7192 1.2435 -1.4214 3.1093 4.5842" Properties=species:S:1:pos:R:3 pbc="T T T"
Cr 4.2102 -2.3322 5.6006
Cr 1.4766 -2.6821 4.9937
Cr -0.1874 1.4223 3.4276
Cr 3.2027 -2.1000 3.3516
Cr 2.5463 1.7722 4.0344
Cr -0.2299 -0.9206 5.0000
Cr 2.5009 -0.5657 5.6126
Cr 4.2527 0.0107 4.0281
Cr 1.5219 -0.3442 3.4155
Mo 0.5178 -0.1171 1.1620
Cr 0.7668 -1.1491 7.2542
Cr 3.5517 1.5522 6.2855
Cr 0.4712 -2.4621 2.7427
Cr 3.2561 0.2392 1.7740
Cr 0.8201 1.1901 5.6765
Mo 3.5051 -0.7928 7.8662
```